a | Tl2SBr (PBE, relaxed); total moment = 0.000 μB per cell
1.0
5.2775 0.0000 0.0000
0.0000 11.4342 0.0000
0.0000 0.0000 4.4449
Tl S Br
4 2 2
direct
0.0000 0.0816 0.0000
0.0000 0.6400 0.3382
0.5000 0.3600 0.8382
0.5000 0.9184 0.5000
0.0000 0.9049 0.4573
0.5000 0.0951 0.9573
0.0000 0.3330 0.3618
0.5000 0.6670 0.8618



b | Tl2SBr (PBE, relaxed); total moment = 0.000 μB per cell
1.0
7.6178 0.0000 0.0000
0.0000 7.6178 0.0000
0.0000 0.0000 7.6178
Tl S Br
8 4 4
direct
0.2500 0.2500 0.2500
0.2500 0.2500 0.7500
0.2500 0.7500 0.2500
0.2500 0.7500 0.7500
0.7500 0.2500 0.2500
0.7500 0.2500 0.7500
0.7500 0.7500 0.2500
0.7500 0.7500 0.7500
0.0000 0.0000 0.0000
0.0000 0.5000 0.5000
0.5000 0.0000 0.5000
0.5000 0.5000 0.0000
0.0000 0.0000 0.5000
0.0000 0.5000 0.0000
0.5000 0.0000 0.0000
0.5000 0.5000 0.5000



Relative to the most stable one, in meV per atom, the structures come out at a 0; b 192.



a | TlS3Br (PBE, relaxed); total moment = 4.112 μB per cell
1.0
5.2846 0.0000 0.0000
0.0000 5.2846 0.0000
0.0000 0.0000 5.2846
Tl S Br
1 3 1
direct
0.0000 0.0000 0.0000
0.0000 0.0000 0.5000
0.0000 0.5000 0.0000
0.5000 0.0000 0.0000
0.5000 0.5000 0.5000



b | TlS3Br (PBE, relaxed); total moment = 0.000 μB per cell
1.0
4.4332 0.0000 0.0000
-0.0071 4.9384 0.0000
-0.2590 -0.4984 15.9304
Tl S Br
2 6 2
direct
0.2443 0.2375 0.3925
0.7557 0.7625 0.6075
0.0244 0.7623 0.1038
0.3067 0.9804 0.8508
0.3619 0.7711 0.1960
0.6381 0.2289 0.8040
0.6933 0.0196 0.1492
0.9756 0.2377 0.8962
0.2525 0.2572 0.5911
0.7475 0.7428 0.4089



Relative to the most stable one, in meV per atom, the structures come out at a 1258; b 0.



a | Tl8S4Br (PBE, relaxed); total moment = 0.000 μB per cell
1.0
4.2453 2.4510 7.9302
-4.2453 2.4510 7.9302
0.0000 -4.9021 7.9302
Tl S Br
8 4 1
direct
0.2356 0.7371 0.7371
0.2376 0.2376 0.2376
0.2629 0.2629 0.7644
0.2629 0.7644 0.2629
0.7371 0.2356 0.7371
0.7371 0.7371 0.2356
0.7624 0.7624 0.7624
0.7644 0.2629 0.2629
0.0000 0.0000 0.5000
0.0000 0.5000 0.0000
0.5000 0.0000 0.0000
0.5000 0.5000 0.5000
0.0000 0.0000 0.0000



b | Tl8S4Br (PBE, relaxed); total moment = 0.000 μB per cell
1.0
0.0000 6.3503 6.3503
6.3503 0.0000 6.3503
6.3503 6.3503 0.0000
Tl S Br
8 4 1
direct
0.3931 0.3931 0.3931
0.3931 0.3931 0.8208
0.3931 0.8208 0.3931
0.4098 0.8634 0.8634
0.8208 0.3931 0.3931
0.8634 0.4098 0.8634
0.8634 0.8634 0.4098
0.8634 0.8634 0.8634
0.1066 0.6311 0.6311
0.6311 0.1066 0.6311
0.6311 0.6311 0.1066
0.6311 0.6311 0.6311
0.2500 0.2500 0.2500



Relative to the most stable one, in meV per atom, the structures come out at a 0; b 27.



a | USBr3 (PBE, relaxed); total moment = 2.000 μB per cell
1.0
-4.0778 4.8267 5.0967
4.0778 -4.8267 5.0967
4.0778 4.8267 -5.0967
U S Br
2 2 6
direct
0.5000 0.0000 0.0000
0.5000 0.5000 0.5000
0.3487 0.0987 0.2500
0.6513 0.9013 0.7500
0.2248 0.0000 0.7248
0.2248 0.5000 0.2248
0.3040 0.5540 0.7500
0.6960 0.4460 0.2500
0.7752 0.0000 0.2752
0.7752 0.5000 0.7752



b | USBr3 (PBE, relaxed); total moment = 4.000 μB per cell
1.0
8.5174 0.0000 0.0000
0.0000 11.1850 0.0000
-1.3812 0.0000 12.7361
U S Br
4 4 12
direct
0.0817 0.1400 0.1131
0.0817 0.8600 0.6131
0.9183 0.1400 0.3869
0.9183 0.8600 0.8869
0.1804 0.1304 0.3079
0.1804 0.8696 0.8079
0.8196 0.1304 0.1921
0.8196 0.8696 0.6921
0.0701 0.3751 0.0998
0.0701 0.6249 0.5998
0.0711 0.1190 0.5965
0.0711 0.8810 0.0965
0.3693 0.1336 0.0528
0.3693 0.8664 0.5528
0.6307 0.1336 0.4472
0.6307 0.8664 0.9472
0.9289 0.1190 0.9035
0.9289 0.8810 0.4035
0.9299 0.3751 0.4002
0.9299 0.6249 0.9002



Relative to the most stable one, in meV per atom, the structures come out at a 13; b 0.



a | US2Br (PBE, relaxed); total moment = 2.986 μB per cell
1.0
4.2625 0.0000 0.0000
-2.1312 3.6914 0.0000
0.0000 0.0000 19.5305
U S Br
3 6 3
direct
0.0000 0.0000 0.0000
0.3333 0.6667 0.6667
0.6667 0.3333 0.3333
0.0000 0.0000 0.2805
0.0000 0.0000 0.7195
0.3333 0.6667 0.3862
0.3333 0.6667 0.9471
0.6667 0.3333 0.0529
0.6667 0.3333 0.6138
0.0000 0.0000 0.5000
0.3333 0.6667 0.1667
0.6667 0.3333 0.8333



b | US2Br (PBE, relaxed); total moment = 2.000 μB per cell
1.0
9.9318 0.0000 0.0000
0.0000 3.6390 0.0000
-0.3423 0.0000 7.7559
U S Br
2 4 2
direct
0.0000 0.0000 0.0000
0.5000 0.5000 0.0000
0.0752 0.5000 0.7910
0.3079 0.0000 0.0111
0.5752 0.0000 0.7910
0.8079 0.5000 0.0111
0.0899 0.5000 0.2710
0.5899 0.0000 0.2710



c | US2Br (PBE, relaxed); total moment = 3.000 μB per cell
1.0
4.3175 0.0000 0.0000
-2.1587 3.7390 0.0000
0.0000 0.0000 22.0293
U S Br
3 6 3
direct
0.0000 0.0000 0.0000
0.3333 0.6667 0.6667
0.6667 0.3333 0.3333
0.0000 0.0000 0.3893
0.0000 0.0000 0.6329
0.3333 0.6667 0.0559
0.3333 0.6667 0.2996
0.6667 0.3333 0.7226
0.6667 0.3333 0.9663
0.0000 0.0000 0.8749
0.3333 0.6667 0.5415
0.6667 0.3333 0.2082



Relative to the most stable one, in meV per atom, the structures come out at a 210; b 28; c 0.